NaNdFeWO6: optimized geometry, PBE+U.

```
data_NaNdFeWO6
_chemical_formula_sum 'Na2 Nd2 Fe2 W2 O12'
_cell_length_a 5.566
_cell_length_b 5.604
_cell_length_c 8.068
_cell_angle_alpha 90.00
_cell_angle_beta 90.27
_cell_angle_gamma 90.00
_space_group_name_H-M_alt 'P 1 21 1'
_space_group_IT_number 4
_space_group_name_Hall 'P 2yb'
loop_
_atom_site_label
_atom_site_type_symbol
_atom_site_fract_x
_atom_site_fract_y
_atom_site_fract_z
Na1 Na 0.249 0.000 0.001
Nd1 Nd 0.240 0.924 0.498
Fe1 Fe 0.250 0.468 0.242
W1 W 0.259 0.475 0.762
O1 O 0.026 0.181 0.307
O2 O 0.054 0.204 0.689
O3 O 0.171 0.443 0.983
O4 O 0.342 0.501 0.510
O5 O 0.426 0.773 0.783
O6 O 0.454 0.791 0.222
```

Computed properties:
density of states at the Fermi level = 0.0000 states/eV/atom
E_tot = -7.181 eV per atom